[1]
! PBEsol TlCuP2, relaxed; values from VASP
! E above lowest polymorph	500	meV per atom
&SYSTEM
  ibrav = 0, nat = 4, ntyp = 3
/
ATOMIC_SPECIES
Cu 63.55 Cu.upf
P 30.97 P.upf
Tl 204.38 Tl.upf
CELL_PARAMETERS angstrom
-0.823 2.570 2.365
-0.780 -2.504 2.450
5.209 0.074 1.734
ATOMIC_POSITIONS crystal
Cu 0.000 0.000 0.500
P 0.000 0.500 0.000
P 0.500 0.000 0.000
Tl 0.500 0.500 0.500

---

[2]
Computed, not measured: a relaxed UCuP2 crystal at the PBEsol level of DFT. Values from VASP.

Cell and atoms, written as Quantum ESPRESSO input:
```
&SYSTEM
  ibrav = 0, nat = 8, ntyp = 3
/
ATOMIC_SPECIES
P 30.97 P.upf
U 238.03 U.upf
Cu 63.55 Cu.upf
CELL_PARAMETERS angstrom
3.720 0.000 0.000
0.000 3.720 0.000
-1.860 -1.860 9.068
ATOMIC_POSITIONS crystal
P 0.667 0.667 0.334
P 0.333 0.333 0.666
P 0.500 0.000 0.000
P 0.000 0.500 0.000
U 0.891 0.891 0.781
U 0.109 0.109 0.219
Cu 0.250 0.750 0.500
Cu 0.750 0.250 0.500
```

---

[3]
Computed, not measured: a relaxed CuPW2 crystal at the PBEsol level of DFT. Values from VASP.

Cell and atoms, written as Quantum ESPRESSO input:
```
&SYSTEM
  ibrav = 0, nat = 4, ntyp = 3
/
ATOMIC_SPECIES
Cu 63.55 Cu.upf
P 30.97 P.upf
W 183.84 W.upf
CELL_PARAMETERS angstrom
2.914 0.000 0.000
0.000 2.914 0.000
0.000 0.000 6.514
ATOMIC_POSITIONS crystal
Cu 0.000 0.000 0.528
P 0.500 0.500 0.749
W 0.000 0.000 0.956
W 0.500 0.500 0.266
```

---

[4]
Computed, not measured: a relaxed CuP2W crystal at the PBEsol level of DFT. Values from VASP.

Cell and atoms, written as Quantum ESPRESSO input:
```
&SYSTEM
  ibrav = 0, nat = 4, ntyp = 3
/
ATOMIC_SPECIES
Cu 63.55 Cu.upf
P 30.97 P.upf
W 183.84 W.upf
CELL_PARAMETERS angstrom
-2.262 1.461 1.632
-2.664 -2.853 -1.138
2.733 -2.327 2.832
ATOMIC_POSITIONS crystal
Cu 0.744 0.186 0.488
P 0.993 0.084 0.986
P 0.242 0.656 0.484
W 0.521 0.574 0.043
```

---

[5]
Computed, not measured: a relaxed CuPW2 crystal at the PBEsol level of DFT. Values from VASP.

Cell and atoms, written as Quantum ESPRESSO input:
```
&SYSTEM
  ibrav = 0, nat = 4, ntyp = 3
/
ATOMIC_SPECIES
Cu 63.55 Cu.upf
P 30.97 P.upf
W 183.84 W.upf
CELL_PARAMETERS angstrom
-2.519 -1.457 -1.284
0.754 -3.260 2.221
-2.527 1.575 3.170
ATOMIC_POSITIONS crystal
Cu 0.500 0.500 0.000
P 0.000 0.500 0.500
W 0.000 0.000 0.000
W 0.500 0.000 0.500
```

---

[6]
Computed, not measured: a relaxed Cu2PW crystal at the PBEsol level of DFT. Values from VASP.

Cell and atoms, written as Quantum ESPRESSO input:
```
&SYSTEM
  ibrav = 0, nat = 4, ntyp = 3
/
ATOMIC_SPECIES
Cu 63.55 Cu.upf
P 30.97 P.upf
W 183.84 W.upf
CELL_PARAMETERS angstrom
3.445 0.000 0.000
0.000 3.445 0.000
-1.722 -1.722 4.314
ATOMIC_POSITIONS crystal
Cu 0.750 0.250 0.500
Cu 0.250 0.750 0.500
P 0.500 0.500 0.000
W 0.000 0.000 0.000
```

---

[7]
Computed, not measured: a relaxed CuPW2 crystal at the PBEsol level of DFT. Values from VASP.

Cell and atoms, written as Quantum ESPRESSO input:
```
&SYSTEM
  ibrav = 0, nat = 4, ntyp = 3
/
ATOMIC_SPECIES
Cu 63.55 Cu.upf
P 30.97 P.upf
W 183.84 W.upf
CELL_PARAMETERS angstrom
2.749 0.014 0.000
-0.879 2.605 0.000
0.000 0.000 7.809
ATOMIC_POSITIONS crystal
Cu 0.500 0.500 0.500
P 0.500 0.500 0.000
W 0.000 0.000 0.233
W 0.000 0.000 0.767
```

---

[8]
Computed, not measured: a relaxed YCuP4 crystal at the PBEsol level of DFT. Values from VASP.

Cell and atoms, written as Quantum ESPRESSO input:
```
&SYSTEM
  ibrav = 0, nat = 6, ntyp = 3
/
ATOMIC_SPECIES
Cu 63.55 Cu.upf
P 30.97 P.upf
Y 88.91 Y.upf
CELL_PARAMETERS angstrom
5.116 0.000 0.000
2.558 4.430 0.000
2.558 1.477 4.177
ATOMIC_POSITIONS crystal
Cu 0.000 0.000 0.000
P 0.369 0.369 0.369
P 0.369 0.369 0.893
P 0.893 0.369 0.369
P 0.369 0.893 0.369
Y 0.750 0.750 0.750
```

---

[9]
Computed, not measured: a relaxed YZnCuP2 crystal at the PBEsol level of DFT. Values from VASP.

Cell and atoms, written as Quantum ESPRESSO input:
```
&SYSTEM
  ibrav = 0, nat = 5, ntyp = 4
/
ATOMIC_SPECIES
Y 88.91 Y.upf
P 30.97 P.upf
Zn 65.41 Zn.upf
Cu 63.55 Cu.upf
CELL_PARAMETERS angstrom
-3.639 1.384 0.450
0.701 -3.836 0.397
1.102 0.853 6.297
ATOMIC_POSITIONS crystal
Y 0.667 0.333 0.014
P 0.333 0.667 0.744
P 0.000 0.000 0.257
Zn 0.000 0.000 0.626
Cu 0.333 0.667 0.359
```

---

[10]
! PBEsol ZnCu2P, relaxed; values from VASP
! E above lowest polymorph	21	meV per atom
&SYSTEM
  ibrav = 0, nat = 4, ntyp = 3
/
ATOMIC_SPECIES
Cu 63.55 Cu.upf
P 30.97 P.upf
Zn 65.41 Zn.upf
CELL_PARAMETERS angstrom
2.717 0.000 0.000
1.358 2.353 0.000
1.358 0.784 7.814
ATOMIC_POSITIONS crystal
Cu 0.247 0.247 0.260
Cu 0.753 0.753 0.740
P 0.500 0.500 0.500
Zn 0.000 0.000 0.000

---

[11]
! PBEsol ZnCuP3, relaxed; values from VASP
! E above lowest polymorph	0	meV per atom
&SYSTEM
  ibrav = 0, nat = 5, ntyp = 3
/
ATOMIC_SPECIES
P 30.97 P.upf
Zn 65.41 Zn.upf
Cu 63.55 Cu.upf
CELL_PARAMETERS angstrom
-3.999 -1.881 0.454
0.718 -0.474 4.358
-1.797 3.997 0.731
ATOMIC_POSITIONS crystal
P 0.000 0.500 0.000
P 0.000 0.000 0.500
P 0.500 0.000 0.000
Zn 0.500 0.500 0.500
Cu 0.000 0.000 0.000

---

[12]
! PBEsol ZnCu2P, relaxed; values from VASP
! E above lowest polymorph	52	meV per atom
&SYSTEM
  ibrav = 0, nat = 4, ntyp = 3
/
ATOMIC_SPECIES
Cu 63.55 Cu.upf
P 30.97 P.upf
Zn 65.41 Zn.upf
CELL_PARAMETERS angstrom
-2.521 0.396 0.576
-0.579 -4.436 0.528
1.187 1.856 3.930
ATOMIC_POSITIONS crystal
Cu 0.000 0.500 0.000
Cu 0.000 0.000 0.500
P 0.500 0.000 0.000
Zn 0.500 0.500 0.500

---

[13]
! PBEsol ZnCu2P, relaxed; values from VASP
! E above lowest polymorph	0	meV per atom
&SYSTEM
  ibrav = 0, nat = 4, ntyp = 3
/
ATOMIC_SPECIES
Cu 63.55 Cu.upf
P 30.97 P.upf
Zn 65.41 Zn.upf
CELL_PARAMETERS angstrom
-3.231 1.417 0.722
-1.297 -3.294 0.661
3.240 1.292 2.982
ATOMIC_POSITIONS crystal
Cu 0.000 0.000 0.000
Cu 0.750 0.250 0.500
P 0.500 0.500 0.000
Zn 0.250 0.750 0.500

---

[14]
Computed, not measured: a relaxed Zr2CuP crystal at the PBEsol level of DFT. Values from VASP.

Cell and atoms, written as Quantum ESPRESSO input:
```
&SYSTEM
  ibrav = 0, nat = 4, ntyp = 3
/
ATOMIC_SPECIES
Cu 63.55 Cu.upf
P 30.97 P.upf
Zr 91.22 Zr.upf
CELL_PARAMETERS angstrom
-2.042 3.054 0.431
-3.084 -2.017 -0.321
-0.043 -0.766 5.223
ATOMIC_POSITIONS crystal
Cu 0.000 0.000 0.375
P 0.500 0.500 0.875
Zr 0.000 0.000 0.875
Zr 0.500 0.500 0.375
```

---

[15]
Computed, not measured: a relaxed Zr4CuP crystal at the PBEsol level of DFT. Values from VASP.

Cell and atoms, written as Quantum ESPRESSO input:
```
&SYSTEM
  ibrav = 0, nat = 12, ntyp = 3
/
ATOMIC_SPECIES
Cu 63.55 Cu.upf
P 30.97 P.upf
Zr 91.22 Zr.upf
CELL_PARAMETERS angstrom
-0.807 0.254 5.216
-0.028 -6.430 0.309
6.362 0.020 0.984
ATOMIC_POSITIONS crystal
Cu 0.250 0.000 0.000
Cu 0.750 0.000 0.000
P 0.250 0.500 0.500
P 0.750 0.500 0.500
Zr 0.000 0.161 0.653
Zr 0.000 0.839 0.347
Zr 0.000 0.347 0.161
Zr 0.000 0.653 0.839
Zr 0.500 0.839 0.653
Zr 0.500 0.161 0.347
Zr 0.500 0.653 0.161
Zr 0.500 0.347 0.839
```

---

[16]
Computed, not measured: a relaxed ZrCuP2 crystal at the PBEsol level of DFT. Values from VASP.

Cell and atoms, written as Quantum ESPRESSO input:
```
&SYSTEM
  ibrav = 0, nat = 4, ntyp = 3
/
ATOMIC_SPECIES
Cu 63.55 Cu.upf
P 30.97 P.upf
Zr 91.22 Zr.upf
CELL_PARAMETERS angstrom
-0.293 2.798 2.065
-3.477 -0.231 -0.180
-0.011 -3.066 4.153
ATOMIC_POSITIONS crystal
Cu 0.500 0.500 0.815
P 0.000 0.000 0.933
P 0.500 0.500 0.298
Zr 0.000 0.000 0.454
```

---

[17]
Computed, not measured: a relaxed Zr3Cu4P2 crystal at the PBEsol level of DFT. Values from VASP.

Cell and atoms, written as Quantum ESPRESSO input:
```
&SYSTEM
  ibrav = 0, nat = 9, ntyp = 3
/
ATOMIC_SPECIES
Cu 63.55 Cu.upf
P 30.97 P.upf
Zr 91.22 Zr.upf
CELL_PARAMETERS angstrom
3.895 0.000 0.000
0.000 6.226 0.000
0.000 -3.113 5.392
ATOMIC_POSITIONS crystal
Cu 0.000 0.753 0.753
Cu 0.000 0.000 0.247
Cu 0.000 0.247 0.000
Cu 0.500 0.000 0.000
P 0.000 0.667 0.333
P 0.000 0.333 0.667
Zr 0.500 0.417 0.417
Zr 0.500 0.000 0.583
Zr 0.500 0.583 0.000
```

---

[18]
Computed, not measured: a relaxed ZrCuP2 crystal at the PBEsol level of DFT. Values from VASP.

Cell and atoms, written as Quantum ESPRESSO input:
```
&SYSTEM
  ibrav = 0, nat = 4, ntyp = 3
/
ATOMIC_SPECIES
Cu 63.55 Cu.upf
P 30.97 P.upf
Zr 91.22 Zr.upf
CELL_PARAMETERS angstrom
-1.879 2.392 -2.112
-2.800 -1.194 -2.108
-5.057 1.303 2.729
ATOMIC_POSITIONS crystal
Cu 0.000 0.000 0.000
P 0.258 0.258 0.226
P 0.742 0.742 0.774
Zr 0.500 0.500 0.500
```

---

[19]
Computed, not measured: a relaxed Zr2CuP crystal at the PBEsol level of DFT. Values from VASP.

Cell and atoms, written as Quantum ESPRESSO input:
```
&SYSTEM
  ibrav = 0, nat = 4, ntyp = 3
/
ATOMIC_SPECIES
Cu 63.55 Cu.upf
P 30.97 P.upf
Zr 91.22 Zr.upf
CELL_PARAMETERS angstrom
-4.249 -0.666 -1.447
-3.065 -1.897 2.757
-3.390 2.501 1.687
ATOMIC_POSITIONS crystal
Cu 0.500 0.500 0.500
P 0.750 0.750 0.750
Zr 0.000 0.000 0.000
Zr 0.250 0.250 0.250
```

---

[20]
Computed, not measured: a relaxed ZrCu2P2 crystal at the PBEsol level of DFT. Values from VASP.

Cell and atoms, written as Quantum ESPRESSO input:
```
&SYSTEM
  ibrav = 0, nat = 5, ntyp = 3
/
ATOMIC_SPECIES
P 30.97 P.upf
Cu 63.55 Cu.upf
Zr 91.22 Zr.upf
CELL_PARAMETERS angstrom
3.773 0.000 0.000
-1.886 3.267 0.000
0.000 0.000 6.084
ATOMIC_POSITIONS crystal
P 0.667 0.333 0.747
P 0.333 0.667 0.253
Cu 0.667 0.333 0.358
Cu 0.333 0.667 0.642
Zr 0.000 0.000 0.000
```

---

Respective DFT total energy values: -16.4; -30.7; -36.8; -29.8; -36.3; -27.3; -36.1; -34.6; -28.3; -15.8; -18.9; -15.7; -15.9; -30.9; -50.2; -27.3; -62.8; -26.7; -27.6; -32.9 eV/f.u..